MnCrSbF6 (GGA+U, optimized geometry); final energy = -5.549 eV per atom; total magnetization = 10.0 μB per formula unit; symmetry = No. 163
1.0
5.6609 0.0000 0.0000
-2.8304 4.9025 0.0000
0.0000 0.0000 9.9875
Mn Cr Sb F
2 2 2 12
Direct
0.3333 0.6667 0.2500
0.6667 0.3333 0.7500
0.3333 0.6667 0.7500
0.6667 0.3333 0.2500
0.0000 0.0000 0.0000
0.0000 0.0000 0.5000
0.0270 0.3373 0.1304
0.0270 0.6897 0.3696
0.3103 0.3373 0.3696
0.3103 0.9730 0.1304
0.3373 0.0270 0.6304
0.3373 0.3103 0.8696
0.6627 0.6897 0.1304
0.6627 0.9730 0.3696
0.6897 0.0270 0.8696
0.6897 0.6627 0.6304
0.9730 0.3103 0.6304
0.9730 0.6627 0.8696